# 1
FeNi2Rh: relaxed, PBE.

a = 4.4522 Å, b = 4.4522 Å, c = 2.6125 Å
α = 90.00°, β = 90.00°, γ = 109.46°
Fractional positions:
Fe  0.0000  0.0000  0.0000
Ni  0.0000  0.5000  0.5000
Ni  0.5000  0.0000  0.5000
Rh  0.5000  0.5000  0.0000

Properties
* space group: Cmmm (65)
* energy: -27.5 eV/f.u.
* formation energy: -0.0252 eV per atom

=====

# 2
Ac2DySb2O2: relaxed, PBE.

a = 9.1088 Å, b = 9.1088 Å, c = 9.1088 Å
α = 151.26°, β = 151.26°, γ = 41.09°
Fractional positions:
Ac  0.1154  0.1154  0.0000
Ac  0.8846  0.8846  0.0000
Dy  0.5000  0.5000  0.0000
Sb  0.3143  0.3143  0.0000
Sb  0.6857  0.6857  0.0000
O  0.0000  0.5000  0.5000
O  0.5000  0.0000  0.5000

Properties
* space group: I4/mmm (139)
* formation energy from raw total energies: -2.021 eV per atom
* energy: -45.1 eV/f.u.

=====

# 3
Sm8SiGe3Te4: relaxed, PBE.

a = 8.7927 Å, b = 8.7927 Å, c = 8.7927 Å
α = 58.93°, β = 58.93°, γ = 58.93°
Fractional positions:
Sm  0.2411  0.2411  0.2411
Sm  0.2421  0.7403  0.7403
Sm  0.2597  0.2597  0.7579
Sm  0.2597  0.7579  0.2597
Sm  0.7403  0.2421  0.7403
Sm  0.7403  0.7403  0.2421
Sm  0.7579  0.2597  0.2597
Sm  0.7589  0.7589  0.7589
Si  0.5000  0.5000  0.5000
Ge  0.0000  0.0000  0.5000
Ge  0.0000  0.5000  0.0000
Ge  0.5000  0.0000  0.0000
Te  0.0000  0.0000  0.0000
Te  0.0000  0.5000  0.5000
Te  0.5000  0.0000  0.5000
Te  0.5000  0.5000  0.0000

Properties
* space group: R-3m (166)
* formation energy from raw total energies: -1.188 eV per atom
* energy: -88.6 eV/f.u.

=====

# 4
PmTlZn: relaxed, PBE.

a = 9.0108 Å, b = 9.0108 Å, c = 9.0108 Å
α = 30.01°, β = 30.01°, γ = 30.01°
Fractional positions:
Pm  0.0672  0.0672  0.0672
Pm  0.9328  0.9328  0.9328
Tl  0.1961  0.1961  0.1961
Tl  0.8039  0.8039  0.8039
Zn  0.3287  0.3287  0.3287
Zn  0.6713  0.6713  0.6713

Properties
* E above lowest polymorph: 116 meV/atom
* space group: R-3m (166)
* energy: -9.1 eV/f.u.
* formation energy: -0.2226 eV per atom

=====

# 5
AcGe3Rh3: relaxed, PBE.

a = 8.9836 Å, b = 4.4413 Å, c = 8.9845 Å
α = 90.00°, β = 119.93°, γ = 90.00°
Fractional positions:
Ac  0.1668  0.2500  0.3329
Ac  0.8332  0.7500  0.6671
Ge  0.0879  0.2500  0.6434
Ge  0.1444  0.7500  0.0555
Ge  0.4441  0.7500  0.5880
Ge  0.5559  0.2500  0.4120
Ge  0.8556  0.2500  0.9445
Ge  0.9121  0.7500  0.3566
Rh  0.1405  0.2500  0.9350
Rh  0.2052  0.7500  0.6411
Rh  0.4360  0.7500  0.2948
Rh  0.5640  0.2500  0.7052
Rh  0.7948  0.2500  0.3589
Rh  0.8595  0.7500  0.0650

Properties
* E above lowest polymorph: 36 meV/atom
* space group: P2_1/m (11)
* energy: -43.1 eV/f.u.
* formation energy: -0.4412 eV per atom

=====

# 6
LuBi2Pt: relaxed, PBE.

a = 10.1331 Å, b = 10.1331 Å, c = 10.1331 Å
α = 20.99°, β = 20.99°, γ = 20.99°
Fractional positions:
Lu  0.0000  0.0000  0.0000
Bi  0.1051  0.1051  0.1051
Bi  0.8949  0.8949  0.8949
Pt  0.5000  0.5000  0.5000

Properties
* space group: R-3m (166)
* energy: -18.4 eV/f.u.
* formation energy: -0.0139 eV per atom

=====

# 7
ScBi2RuS: relaxed, PBE.

a = 5.5971 Å, b = 5.5971 Å, c = 4.2467 Å
α = 90.00°, β = 90.00°, γ = 90.00°
Fractional positions:
Sc  0.0000  0.0000  0.0000
Bi  0.0000  0.5000  0.5000
Bi  0.5000  0.0000  0.5000
Ru  0.5000  0.5000  0.5000
S  0.5000  0.5000  0.0000

Properties
* space group: P4/mmm (123)
* formation energy from raw total energies: 0.159 eV per atom
* energy: -26.7 eV/f.u.

=====

# 8
ScTlZn: relaxed, PBE.

a = 4.5529 Å, b = 4.5529 Å, c = 4.5529 Å
α = 60.00°, β = 60.00°, γ = 60.00°
Fractional positions:
Sc  0.0000  0.0000  0.0000
Tl  0.5000  0.5000  0.5000
Zn  0.2500  0.2500  0.2500

Properties
* space group: F-43m (216)
* energy: -10.4 eV/f.u.
* formation energy: -0.1587 eV per atom

=====

# 9
LuThScSn: relaxed, PBE.

a = 5.2731 Å, b = 5.2731 Å, c = 5.2731 Å
α = 60.00°, β = 60.00°, γ = 60.00°
Fractional positions:
Lu  0.0000  0.0000  0.0000
Th  0.7500  0.7500  0.7500
Sc  0.5000  0.5000  0.5000
Sn  0.2500  0.2500  0.2500

Properties
* space group: F-43m (216)
* energy: -22.9 eV/f.u.
* formation energy: -0.1673 eV per atom

=====

# 10
PrSm8Dy5: relaxed, PBE.

a = 8.5379 Å, b = 8.5379 Å, c = 8.5379 Å
α = 111.61°, β = 111.61°, γ = 105.26°
Fractional positions:
Pr  0.0000  0.0000  0.0000
Sm  0.0900  0.6796  0.7637
Sm  0.2821  0.5283  0.1051
Sm  0.3204  0.0841  0.4104
Sm  0.4232  0.1770  0.8949
Sm  0.4717  0.5768  0.7538
Sm  0.6737  0.9100  0.5896
Sm  0.8230  0.7179  0.2462
Sm  0.9159  0.3263  0.2363
Dy  0.0286  0.2117  0.5960
Dy  0.2500  0.7500  0.5000
Dy  0.5674  0.9714  0.1831
Dy  0.6158  0.4326  0.4040
Dy  0.7883  0.3842  0.8169

Properties
* space group: I-4 (82)
* energy: -62.2 eV/f.u.
* formation energy: 0.2393 eV per atom

=====

# 11
Si2NiAu: relaxed, PBE.

a = 3.3942 Å, b = 3.3942 Å, c = 5.0105 Å
α = 90.00°, β = 90.00°, γ = 90.00°
Fractional positions:
Si  0.0000  0.0000  0.0000
Si  0.5000  0.5000  0.2924
Ni  0.5000  0.5000  0.8420
Au  0.0000  0.0000  0.5078

Properties
* space group: P4mm (99)
* formation energy from raw total energies: -0.005 eV per atom
* energy: -19.9 eV/f.u.

=====

# 12
Al2ReNi: relaxed, PBE.

a = 2.6972 Å, b = 2.6972 Å, c = 7.6905 Å
α = 90.00°, β = 90.00°, γ = 90.00°
Fractional positions:
Al  0.0000  0.0000  0.0000
Al  0.5000  0.5000  0.2840
Re  0.5000  0.5000  0.7390
Ni  0.0000  0.0000  0.5063

Properties
* E above lowest polymorph: 268 meV/atom
* space group: P4mm (99)
* energy: -26.1 eV/f.u.
* formation energy: -0.1038 eV per atom

=====

# 13
Na3LaAg: relaxed, PBE.

a = 5.3632 Å, b = 5.3632 Å, c = 5.3632 Å
α = 90.00°, β = 90.00°, γ = 90.00°
Fractional positions:
Na  0.0000  0.0000  0.5000
Na  0.0000  0.5000  0.0000
Na  0.5000  0.0000  0.0000
La  0.5000  0.5000  0.5000
Ag  0.0000  0.0000  0.0000

Properties
* E above lowest polymorph: 0 meV/atom
* space group: Pm-3m (221)
* energy: -9.8 eV/f.u.
* formation energy: 0.3786 eV per atom

=====

# 14
RbAgI2N: relaxed, PBE.

a = 6.1273 Å, b = 6.1273 Å, c = 4.2793 Å
α = 90.00°, β = 90.00°, γ = 90.00°
Fractional positions:
Rb  0.0000  0.0000  0.0000
Ag  0.5000  0.5000  0.5000
I  0.0000  0.5000  0.5000
I  0.5000  0.0000  0.5000
N  0.5000  0.5000  0.0000

Properties
* E above lowest polymorph: 0 meV/atom
* space group: P4/mmm (123)
* formation energy from raw total energies: 0.183 eV per atom
* energy: -14.3 eV/f.u.

=====

# 15
NaBe2Mo: relaxed, PBE.

a = 4.2545 Å, b = 4.2545 Å, c = 4.2545 Å
α = 60.00°, β = 60.00°, γ = 60.00°
Fractional positions:
Na  0.0000  0.0000  0.0000
Be  0.2500  0.2500  0.2500
Be  0.7500  0.7500  0.7500
Mo  0.5000  0.5000  0.5000

Properties
* E above lowest polymorph: 0 meV/atom
* space group: Fm-3m (225)
* energy: -16.1 eV/f.u.
* formation energy: 0.8632 eV per atom

=====

# 16
SmHo8Er6: relaxed, PBE.

a = 9.3362 Å, b = 9.3362 Å, c = 6.4546 Å
α = 90.00°, β = 90.00°, γ = 120.00°
Fractional positions:
Sm  0.0000  0.0000  0.0000
Ho  0.0247  0.3376  0.4037
Ho  0.3128  0.9753  0.4037
Ho  0.3333  0.6667  0.6697
Ho  0.3376  0.3128  0.5963
Ho  0.6624  0.6872  0.4037
Ho  0.6667  0.3333  0.3303
Ho  0.6872  0.0247  0.5963
Ho  0.9753  0.6624  0.5963
Er  0.0949  0.6803  0.0916
Er  0.3197  0.4147  0.0916
Er  0.4147  0.0949  0.9084
Er  0.5853  0.9051  0.0916
Er  0.6803  0.5853  0.9084
Er  0.9051  0.3197  0.9084

Properties
* E above lowest polymorph: 99 meV/atom
* space group: P-3 (147)
* energy: -65.2 eV/f.u.
* formation energy: 0.2343 eV per atom

=====

# 17
MnSeI: relaxed, PBE.

a = 4.3563 Å, b = 7.0432 Å, c = 7.8371 Å
α = 99.78°, β = 103.76°, γ = 107.90°
Fractional positions:
Mn  0.1231  0.2745  0.4660
Mn  0.8769  0.7255  0.5340
Se  0.3824  0.6342  0.6531
Se  0.6176  0.3658  0.3469
I  0.1673  0.1094  0.7634
I  0.8327  0.8906  0.2366

Properties
* space group: P-1 (2)
* formation energy from raw total energies: -0.382 eV per atom
* energy: -15.4 eV/f.u.

=====

# 18
AlRe2Os: relaxed, PBE.

a = 2.7365 Å, b = 2.7365 Å, c = 8.7628 Å
α = 90.00°, β = 90.00°, γ = 115.69°
Fractional positions:
Al  0.0000  0.0000  0.0000
Re  0.0000  0.0000  0.5035
Re  0.5000  0.5000  0.2504
Os  0.5000  0.5000  0.7617

Properties
* space group: Cmm2 (35)
* energy: -39.2 eV/f.u.
* formation energy: 0.1667 eV per atom

=====

# 19
RbHo6Te8: relaxed, PBE.

a = 8.4389 Å, b = 8.4389 Å, c = 8.4389 Å
α = 91.00°, β = 91.00°, γ = 91.00°
Fractional positions:
Rb  0.0000  0.0000  0.0000
Ho  0.2026  0.5668  0.3989
Ho  0.3989  0.2026  0.5668
Ho  0.4332  0.6011  0.7974
Ho  0.5668  0.3989  0.2026
Ho  0.6011  0.7974  0.4332
Ho  0.7974  0.4332  0.6011
Te  0.1347  0.3970  0.7182
Te  0.2487  0.2487  0.2487
Te  0.2818  0.8653  0.6030
Te  0.3970  0.7182  0.1347
Te  0.6030  0.2818  0.8653
Te  0.7182  0.1347  0.3970
Te  0.7513  0.7513  0.7513
Te  0.8653  0.6030  0.2818

Properties
* space group: R-3 (148)
* formation energy from raw total energies: -1.240 eV per atom
* energy: -72.2 eV/f.u.

=====

# 20
Al2PCl: relaxed, PBE.

a = 3.3414 Å, b = 3.3353 Å, c = 6.6976 Å
α = 90.00°, β = 90.11°, γ = 90.00°
Fractional positions:
Al  0.0014  0.0000  0.3103
Al  0.9986  0.0000  0.6897
P  0.5000  0.5000  0.5000
Cl  0.0000  0.5000  0.0000

Properties
* E above lowest polymorph: 154 meV/atom
* space group: P2/m (10)
* formation energy from raw total energies: -0.162 eV per atom
* energy: -15.4 eV/f.u.